# TbGeRh3 | the Alexandria database | PBE-GGA | optimized geometry
# Total DFT energy (no corrections) in eV/atom: -6.882
# Volume in A^3/atom: 17.15
data_TbGeRh3
_chemical_formula_sum 'Tb4 Ge4 Rh12'
_cell_length_a 8.039
_cell_length_b 11.213
_cell_length_c 3.805
_cell_angle_alpha 90.00
_cell_angle_beta 90.00
_cell_angle_gamma 90.00
_symmetry_space_group_name_H-M 'C m m m'
_symmetry_Int_Tables_number 65
_symmetry_space_group_name_Hall '-C 2 2'
loop_
_atom_site_label
_atom_site_type_symbol
_atom_site_fract_x
_atom_site_fract_y
_atom_site_fract_z
Tb1 Tb 0.000 0.231 0.000
Ge1 Ge 0.204 0.000 0.000
Rh1 Rh 0.000 0.000 0.500
Rh2 Rh 0.000 0.500 0.000
Rh3 Rh 0.192 0.371 0.500


# TbGeRh | the Alexandria database | PBE-GGA | optimized geometry
# Total DFT energy (no corrections) in eV/atom: -6.512
# Volume in A^3/atom: 19.09
data_TbGeRh
_chemical_formula_sum 'Tb4 Ge4 Rh4'
_cell_length_a 6.983
_cell_length_b 4.346
_cell_length_c 7.547
_cell_angle_alpha 90.00
_cell_angle_beta 90.00
_cell_angle_gamma 90.00
_symmetry_space_group_name_H-M 'P n m a'
_symmetry_Int_Tables_number 62
loop_
_symmetry_equiv_pos_as_xyz
'x,y,z'
'-x,-y,-z'
'-x+1/2,-y,z+1/2'
'x+1/2,y,-z+1/2'
'x+1/2,-y+1/2,-z+1/2'
'-x+1/2,y+1/2,z+1/2'
'-x,y+1/2,-z'
'x,-y+1/2,z'
loop_
_atom_site_label
_atom_site_type_symbol
_atom_site_fract_x
_atom_site_fract_y
_atom_site_fract_z
Tb1 Tb 0.001 0.250 0.194
Ge1 Ge 0.209 0.250 0.604
Rh1 Rh 0.157 0.750 0.430


| no. | energy relative to the elements (kcal/mol of atoms) |
| --- | --- |
| 1 | -14.334 |
| 2 | -22.572 |